# SrHgCl

Crystalline SrHgCl at its relaxed geometry (GGA-PBE, the Alexandria database).

Energy above the lowest structure with this stoichiometry = 175 kJ/mol of formula units
ΔE_f (raw) = -0.77 eV/atom

Unit cell a=5.3129 b=5.3129 c=5.3129 alpha=60.00 beta=60.00 gamma=60.00
Positions (direct):
Cl 0.5000 0.5000 0.5000
Hg 0.7500 0.7500 0.7500
Sr 0.0000 0.0000 0.0000